Here is a relaxed structure of Ag5Bi3O12 from Alexandria via LeMat-Bulk. Energies are from PBE.

```
Ag5Bi3O12
1.0
-6.6111 6.6111 6.6111
6.6111 -6.6111 6.6111
6.6111 6.6111 -6.6111
Ag Bi O
20 12 48
direct
0.0000 0.0000 0.0000
0.0000 0.0000 0.5000
0.0000 0.5000 0.0000
0.0000 0.5000 0.5000
0.1250 0.7500 0.8750
0.1250 0.8750 0.2500
0.2500 0.1250 0.8750
0.2500 0.6250 0.3750
0.3750 0.2500 0.6250
0.3750 0.6250 0.7500
0.5000 0.0000 0.0000
0.5000 0.0000 0.5000
0.5000 0.5000 0.0000
0.5000 0.5000 0.5000
0.6250 0.3750 0.2500
0.6250 0.7500 0.3750
0.7500 0.3750 0.6250
0.7500 0.8750 0.1250
0.8750 0.1250 0.7500
0.8750 0.2500 0.1250
0.1250 0.2500 0.3750
0.1250 0.3750 0.7500
0.2500 0.3750 0.1250
0.2500 0.8750 0.6250
0.3750 0.1250 0.2500
0.3750 0.7500 0.1250
0.6250 0.2500 0.8750
0.6250 0.8750 0.7500
0.7500 0.1250 0.3750
0.7500 0.6250 0.8750
0.8750 0.6250 0.2500
0.8750 0.7500 0.6250
0.0465 0.2124 0.1356
0.0465 0.3341 0.9110
0.0768 0.7124 0.6659
0.0768 0.8644 0.4110
0.0890 0.6356 0.4232
0.0890 0.9535 0.6659
0.1356 0.0465 0.2124
0.1356 0.5890 0.9232
0.1659 0.2124 0.5768
0.1659 0.4535 0.5890
0.2124 0.1356 0.0465
0.2124 0.5768 0.1659
0.2876 0.3341 0.9232
0.2876 0.4535 0.3644
0.3341 0.9110 0.0465
0.3341 0.9232 0.2876
0.3644 0.2876 0.4535
0.3644 0.5768 0.9110
0.4110 0.0768 0.8644
0.4110 0.8341 0.5465
0.4232 0.0890 0.6356
0.4232 0.8341 0.7876
0.4535 0.3644 0.2876
0.4535 0.5890 0.1659
0.5465 0.4110 0.8341
0.5465 0.6356 0.7124
0.5768 0.1659 0.2124
0.5768 0.9110 0.3644
0.5890 0.1659 0.4535
0.5890 0.9232 0.1356
0.6356 0.4232 0.0890
0.6356 0.7124 0.5465
0.6659 0.0768 0.7124
0.6659 0.0890 0.9535
0.7124 0.5465 0.6356
0.7124 0.6659 0.0768
0.7876 0.4232 0.8341
0.7876 0.8644 0.9535
0.8341 0.5465 0.4110
0.8341 0.7876 0.4232
0.8644 0.4110 0.0768
0.8644 0.9535 0.7876
0.9110 0.0465 0.3341
0.9110 0.3644 0.5768
0.9232 0.1356 0.5890
0.9232 0.2876 0.3341
0.9535 0.6659 0.0890
0.9535 0.7876 0.8644
```

Magnetic moment = 0.01 μB/f.u.
Uncorrected formation energy = -5.72 eV per formula unit



Here is a relaxed structure of AgBiO3 from Alexandria via LeMat-Bulk. Energies are from PBE.

```
AgBiO3
1.0
-2.3534 4.5294 3.2456
2.3534 -4.5294 3.2456
2.3534 4.5294 -3.2456
Ag Bi O
2 2 6
direct
0.2954 0.0454 0.2500
0.7046 0.9546 0.7500
0.0000 0.5000 0.5000
0.5000 0.5000 0.0000
0.1245 0.1607 0.9638
0.3030 0.8393 0.4638
0.3243 0.5743 0.7500
0.6757 0.4257 0.2500
0.6970 0.1607 0.5362
0.8755 0.8393 0.0362
```

Magnetic moment = 0.00 μB/f.u.
Uncorrected formation energy = -1.63 eV per formula unit



Here is a relaxed structure of AgBi2O3 from Alexandria via LeMat-Bulk. Energies are from PBE.

```
AgBi2O3
1.0
-1.6224 2.0478 7.3368
1.6224 -2.0478 7.3368
1.6224 2.0478 -7.3368
Ag Bi O
1 2 3
direct
0.0000 0.0000 0.0000
0.3443 0.3443 0.0000
0.6557 0.6557 0.0000
0.1892 0.1892 0.0000
0.5000 0.0000 0.5000
0.8108 0.8108 0.0000
```

Magnetic moment = 0.00 μB/f.u.
Uncorrected formation energy = -3.50 eV per formula unit



Here is a relaxed structure of Ag2BiO4 from Alexandria via LeMat-Bulk. Energies are from PBE.

```
Ag2BiO4
1.0
2.8565 -4.7779 0.0000
2.8565 4.7779 0.0000
0.0000 0.0000 3.5163
Ag Bi O
2 1 4
direct
0.1910 0.8090 0.0000
0.8090 0.1910 0.0000
0.5000 0.5000 0.5000
0.0000 0.5000 0.5000
0.2607 0.2607 0.0000
0.5000 0.0000 0.5000
0.7393 0.7393 0.0000
```

Energy above the most stable polymorph in this dataset = 199 meV/atom
Magnetic moment = 0.00 μB/f.u.
Uncorrected formation energy = -1.34 eV per formula unit



Here is a relaxed structure of Ag2BiO4 from Alexandria via LeMat-Bulk. Energies are from PBE.

```
Ag2BiO4
1.0
6.8453 0.0000 0.0000
0.0000 6.8453 0.0000
0.0000 0.0000 9.3596
Ag Bi O
8 4 16
direct
0.0000 0.2504 0.0000
0.0000 0.7496 0.5000
0.2383 0.2383 0.3750
0.2383 0.7617 0.1250
0.2504 0.0000 0.7500
0.7496 0.0000 0.2500
0.7617 0.2383 0.6250
0.7617 0.7617 0.8750
0.2465 0.5000 0.7500
0.5000 0.2465 0.0000
0.5000 0.7535 0.5000
0.7535 0.5000 0.2500
0.0334 0.2673 0.7589
0.0334 0.7327 0.7411
0.2673 0.0334 0.9911
0.2673 0.9666 0.5089
0.2721 0.4803 0.9846
0.2721 0.5197 0.5154
0.4803 0.2721 0.7654
0.4803 0.7279 0.7346
0.5197 0.2721 0.2346
0.5197 0.7279 0.2654
0.7279 0.4803 0.0154
0.7279 0.5197 0.4846
0.7327 0.0334 0.0089
0.7327 0.9666 0.4911
0.9666 0.2673 0.2411
0.9666 0.7327 0.2589
```

Energy above the most stable polymorph in this dataset = 0 meV/atom
Magnetic moment = 1.09 μB/f.u.
Uncorrected formation energy = -2.74 eV per formula unit



Here is a relaxed structure of Ag2BiO3 from Alexandria via LeMat-Bulk. Energies are from PBE.

```
Ag2BiO3
1.0
3.0179 -7.0092 0.0000
3.0179 7.0092 0.0000
0.0000 0.0000 5.1840
Ag Bi O
4 2 6
direct
0.2467 0.2467 0.0000
0.2467 0.2467 0.5000
0.7533 0.7533 0.0000
0.7533 0.7533 0.5000
0.2218 0.7782 0.7500
0.7782 0.2218 0.2500
0.1379 0.3712 0.2500
0.2048 0.7952 0.2500
0.3712 0.1379 0.7500
0.6288 0.8621 0.2500
0.7952 0.2048 0.7500
0.8621 0.6288 0.7500
```

Energy above the most stable polymorph in this dataset = 382 meV/atom
Magnetic moment = 0.86 μB/f.u.
Uncorrected formation energy = -1.10 eV per formula unit



Number 1: E_tot -364.48 eV for the cell shown. Number 2: E_tot -46.48 eV for the cell shown. Number 3: E_tot -28.99 eV for the cell shown. Number 4: E_tot -30.76 eV for the cell shown. Number 5: E_tot -128.61 eV for the cell shown. Number 6: E_tot -51.12 eV for the cell shown.